Run 1
A relaxed structure of Sc2TePb, computed with GGA-PBEsol.

The structure in POSCAR format:
```
Sc2TePb
1.0
3.491 0.000 0.000
0.000 3.491 0.000
0.000 0.000 7.660
Te Sc Pb
1 2 1
direct
0.500 0.500 0.000
0.000 0.000 0.770
0.000 0.000 0.230
0.500 0.500 0.500
```

=====

Run 2
A relaxed structure of Sc2TePb, computed with GGA-PBEsol.

The structure in POSCAR format:
```
Sc2TePb
1.0
-3.549 0.068 -1.280
-0.223 -4.602 0.375
-0.085 0.476 5.823
Sc Te Pb
2 1 1
direct
0.992 0.875 0.984
0.757 0.375 0.514
0.494 0.375 0.988
0.256 0.875 0.513
```

=====

Run 3
A relaxed structure of Sc2TePb, computed with GGA-PBEsol.

The structure in POSCAR format:
```
Sc2TePb
1.0
-0.917 4.501 -2.205
-2.984 0.256 -4.123
-4.629 2.104 0.332
Sc Te Pb
2 1 1
direct
0.250 0.250 0.250
0.750 0.750 0.750
0.500 0.500 0.500
0.000 0.000 0.000
```

=====

Stability check: which of them is most stable? run 2.

=====

Run 1
A relaxed structure of ScPb2W, computed with GGA-PBEsol.

The structure in POSCAR format:
```
ScPb2W
1.0
3.075 0.000 0.000
0.000 5.150 0.023
-1.538 -1.169 5.436
W Pb Sc
1 2 1
direct
0.767 0.244 0.533
0.016 0.032 0.032
0.239 0.723 0.478
0.478 0.501 0.956
```

=====

Run 2
A relaxed structure of ScPb2W, computed with GGA-PBEsol.

The structure in POSCAR format:
```
ScPb2W
1.0
-2.330 1.520 1.542
-2.958 -0.021 -1.169
-3.847 -8.201 5.555
Pb Sc W
2 1 1
direct
0.757 0.757 0.730
0.989 0.989 0.034
0.510 0.510 0.471
0.245 0.245 0.265
```

=====

Run 3
A relaxed structure of ScPb2W, computed with GGA-PBEsol.

The structure in POSCAR format:
```
ScPb2W
1.0
-0.833 -0.131 3.323
3.324 0.048 0.835
-0.164 7.153 0.242
Pb Sc W
2 1 1
direct
0.000 0.000 0.271
0.000 0.000 0.729
0.500 0.500 0.000
0.500 0.500 0.500
```

=====

Stability check: which of them is most stable? run 2.

=====

Run 1
A relaxed structure of Y2ScPb2, computed with GGA-PBEsol.

The structure in POSCAR format:
```
Y2ScPb2
1.0
4.348 0.000 0.000
0.000 4.348 0.000
-2.174 -2.174 8.084
Y Sc Pb
2 1 2
direct
0.399 0.399 0.798
0.601 0.601 0.202
0.000 0.000 0.000
0.750 0.250 0.500
0.250 0.750 0.500
```

=====

Run 2
A relaxed structure of Y2ScPb2, computed with GGA-PBEsol.

The structure in POSCAR format:
```
Y2ScPb2
1.0
-1.728 3.098 -2.673
-0.654 -5.267 -5.683
-7.133 -1.817 2.506
Pb Sc Y
4 2 4
direct
0.000 0.860 0.640
0.000 0.360 0.860
0.000 0.140 0.360
0.000 0.640 0.140
0.000 0.500 0.500
0.000 0.000 0.000
0.500 0.168 0.668
0.500 0.332 0.168
0.500 0.832 0.332
0.500 0.668 0.832
```

=====

Stability check: which of them is most stable? run 2.

=====

Run 1
A relaxed structure of SrPbSe, computed with GGA-PBEsol.

The structure in POSCAR format:
```
SrPbSe
1.0
4.086 0.000 0.000
0.000 5.039 0.000
0.000 -2.519 4.364
Pb Se Sr
1 1 1
direct
0.882 0.000 0.000
0.762 0.333 0.667
0.355 0.667 0.333
```

=====

Run 2
A relaxed structure of SrPbSe, computed with GGA-PBEsol.

The structure in POSCAR format:
```
SrPbSe
1.0
5.211 0.000 0.000
2.605 4.513 0.000
2.605 1.504 4.255
Sr Pb Se
1 1 1
direct
0.250 0.250 0.250
0.000 0.000 0.000
0.500 0.500 0.500
```

=====

Stability check: which of them is most stable? run 1.

=====

Run 1
A relaxed structure of TePbSe2, computed with GGA-PBEsol.

The structure in POSCAR format:
```
TePbSe2
1.0
3.984 0.000 0.000
1.992 4.102 0.210
1.992 1.338 7.323
Pb Se Te
1 2 1
direct
0.500 0.500 0.500
0.875 0.980 0.269
0.125 0.020 0.731
0.500 0.000 0.000
```

=====

Run 2
A relaxed structure of TePbSe2, computed with GGA-PBEsol.

The structure in POSCAR format:
```
TePbSe2
1.0
4.241 0.000 0.000
0.000 4.241 0.000
0.000 0.000 6.077
Se Pb Te
2 1 1
direct
0.000 0.000 0.000
0.500 0.500 0.500
0.000 0.000 0.500
0.500 0.500 0.000
```

=====

Stability check: which of them is most stable? run 2.

=====

Run 1
A relaxed structure of Tl4PbSe3, computed with GGA-PBEsol.

The structure in POSCAR format:
```
Tl4PbSe3
1.0
-6.338 -1.683 -5.176
6.007 -5.996 1.337
-1.927 -6.736 4.550
Tl Se Pb
8 6 2
direct
0.306 0.314 0.194
0.509 0.314 0.694
0.491 0.686 0.306
0.009 0.314 0.491
0.991 0.686 0.509
0.194 0.686 0.009
0.694 0.686 0.806
0.806 0.314 0.991
0.162 0.000 0.662
0.838 0.000 0.338
0.250 0.500 0.750
0.750 0.500 0.250
0.662 0.000 0.838
0.338 0.000 0.162
0.500 0.000 0.500
0.000 0.000 0.000
```

=====

Run 2
A relaxed structure of Tl4PbSe3, computed with GGA-PBEsol.

The structure in POSCAR format:
```
Tl4PbSe3
1.0
8.377 0.000 0.000
0.000 8.377 0.000
0.000 0.000 12.580
Pb Tl Se
4 16 12
direct
0.000 0.500 0.220
0.000 0.500 0.720
0.500 0.000 0.280
0.500 0.000 0.780
0.375 0.668 0.593
0.168 0.125 0.593
0.875 0.832 0.907
0.625 0.668 0.093
0.668 0.625 0.407
0.875 0.168 0.407
0.332 0.375 0.407
0.832 0.125 0.093
0.668 0.375 0.907
0.125 0.168 0.907
0.125 0.832 0.407
0.625 0.332 0.593
0.332 0.625 0.907
0.375 0.332 0.093
0.168 0.875 0.093
0.832 0.875 0.593
0.835 0.835 0.250
0.835 0.165 0.750
0.500 0.000 0.010
0.665 0.665 0.750
0.335 0.665 0.250
0.165 0.165 0.250
0.000 0.500 0.990
0.500 0.000 0.510
0.335 0.335 0.750
0.165 0.835 0.750
0.000 0.500 0.490
0.665 0.335 0.250
```

=====

Stability check: which of them is most stable? run 2.